## Mo2PtRh (PBE)

Data for crystalline Mo2PtRh at its relaxed geometry.

* size of the total moment: 0.0 Bohr magnetons per cell
* Fermi-level density of states: 1.0878 states/eV/atom
* energy of formation: 0.04 eV per atom
* energy above the lowest structure with this stoichiometry: 31.5 kJ per mole of atoms

Geometry as POSCAR:
```
Mo2PtRh
1.0
3.387 0.000 0.000
0.000 3.387 0.000
0.000 0.000 5.498
Mo Pt Rh
2 1 1
Direct
0.000 0.000 0.225
0.000 0.000 0.775
0.500 0.500 0.500
0.500 0.500 0.000
```

---

## MoPtRh (PBE)

Data for crystalline MoPtRh at its relaxed geometry.

* size of the total moment: 0.0 Bohr magnetons per cell
* Fermi-level density of states: 1.1539 states/eV/atom
* energy of formation: 0.23 eV per atom
* energy above the lowest structure with this stoichiometry: 52.3 kJ per mole of atoms

Geometry as POSCAR:
```
MoPtRh
1.0
0.000 2.992 2.992
2.992 0.000 2.992
2.992 2.992 0.000
Mo Pt Rh
1 1 1
Direct
0.000 0.000 0.000
0.750 0.750 0.750
0.250 0.250 0.250
```

---

## Mo2Pt7Rh2 (PBE)

Data for crystalline Mo2Pt7Rh2 at its relaxed geometry.

* size of the total moment: 0.0 Bohr magnetons per cell
* Fermi-level density of states: 0.9785 states/eV/atom
* energy of formation: -0.07 eV per atom
* energy above the lowest structure with this stoichiometry: 0.0 kJ per mole of atoms

Geometry as POSCAR:
```
Mo2Pt7Rh2
1.0
3.586 -3.786 0.000
3.586 3.786 0.000
-1.272 0.000 6.450
Mo Pt Rh
2 7 2
Direct
0.196 0.804 0.000
0.804 0.196 0.000
0.030 0.417 0.705
0.097 0.097 0.339
0.417 0.030 0.705
0.500 0.500 0.500
0.583 0.970 0.295
0.903 0.903 0.661
0.970 0.583 0.295
0.343 0.343 0.076
0.657 0.657 0.924
```

---

## MoPt2Rh (PBE)

Data for crystalline MoPt2Rh at its relaxed geometry.

* size of the total moment: 0.0 Bohr magnetons per cell
* Fermi-level density of states: 1.0499 states/eV/atom
* energy of formation: 0.30 eV per atom
* energy above the lowest structure with this stoichiometry: 54.9 kJ per mole of atoms

Geometry as POSCAR:
```
MoPt2Rh
1.0
-3.549 3.549 2.678
3.549 -3.549 2.678
3.549 3.549 -2.678
Mo Pt Rh
2 4 2
Direct
0.000 0.000 0.000
0.750 0.250 0.500
0.110 0.625 0.985
0.375 0.360 0.485
0.640 0.125 0.015
0.875 0.890 0.515
0.250 0.750 0.500
0.500 0.500 0.000
```

---

## MoPt2Rh (PBE)

Data for crystalline MoPt2Rh at its relaxed geometry.

* size of the total moment: 0.0 Bohr magnetons per cell
* Fermi-level density of states: 1.3381 states/eV/atom
* energy of formation: -0.23 eV per atom
* energy above the lowest structure with this stoichiometry: 3.3 kJ per mole of atoms

Geometry as POSCAR:
```
MoPt2Rh
1.0
2.750 0.000 0.000
0.000 4.016 0.000
0.000 0.000 5.484
Mo Pt Rh
1 2 1
Direct
0.000 0.000 0.000
0.500 0.500 0.247
0.500 0.500 0.753
0.000 0.000 0.500
```

---

## Mo2PtRh (PBE)

Data for crystalline Mo2PtRh at its relaxed geometry.

* size of the total moment: 0.0 Bohr magnetons per cell
* Fermi-level density of states: 0.6603 states/eV/atom
* energy of formation: -0.26 eV per atom
* energy above the lowest structure with this stoichiometry: 3.5 kJ per mole of atoms

Geometry as POSCAR:
```
Mo2PtRh
1.0
2.735 0.000 0.000
0.000 4.043 0.000
0.000 0.000 5.480
Mo Pt Rh
2 1 1
Direct
0.000 0.000 0.241
0.000 0.000 0.759
0.500 0.500 0.500
0.500 0.500 0.000
```